First-principles (GGA-PBE) data for crystalline TiBeIn3 at its relaxed geometry, as listed in Alexandria.

Cell and atoms, written as CIF:
```
data_TiBeIn3
_chemical_formula_sum 'Ti1 Be1 In3'
_symmetry_space_group_name_H-M 'P 1'
_symmetry_Int_Tables_number 1
_cell_length_a 5.400
_cell_length_b 5.400
_cell_length_c 5.400
_cell_angle_alpha 90.00
_cell_angle_beta 90.00
_cell_angle_gamma 90.00
loop_
_symmetry_equiv_pos_as_xyz
'x,y,z'
loop_
_atom_site_label
_atom_site_type_symbol
_atom_site_fract_x
_atom_site_fract_y
_atom_site_fract_z
Ti1 Ti 0.000 0.000 0.000
Be1 Be 0.500 0.500 0.500
In1 In 0.000 0.000 0.500
In2 In 0.000 0.500 0.000
In3 In 0.500 0.000 0.000
```

## Properties
As for the total energy: -14.6 eV/cell. The calculation puts the relative energy among the computed polymorphs at 417 meV/atom. For the total magnetization, the calculation gives 2.30 Bohr magnetons per cell. The formation energy is 5.19 eV per formula unit.

***

First-principles (GGA-PBE) data for crystalline BeTlIn at its relaxed geometry, as listed in Alexandria.

Cell and atoms, written as CIF:
```
data_BeTlIn
_chemical_formula_sum 'Be1 Tl1 In1'
_symmetry_space_group_name_H-M 'P 1'
_symmetry_Int_Tables_number 1
_cell_length_a 4.381
_cell_length_b 4.381
_cell_length_c 4.240
_cell_angle_alpha 90.00
_cell_angle_beta 90.00
_cell_angle_gamma 120.00
loop_
_symmetry_equiv_pos_as_xyz
'x,y,z'
loop_
_atom_site_label
_atom_site_type_symbol
_atom_site_fract_x
_atom_site_fract_y
_atom_site_fract_z
Be1 Be 0.000 0.000 0.000
Tl1 Tl 0.333 0.667 0.551
In1 In 0.667 0.333 0.048
```

## Properties
As for the total energy: -7.4 eV/cell. For the total magnetization, the calculation gives 0.00 Bohr magnetons per cell. The formation energy is 1.47 eV per formula unit.

***

First-principles (GGA-PBE) data for crystalline Be2TlIn at its relaxed geometry, as listed in Alexandria.

Cell and atoms, written as CIF:
```
data_Be2TlIn
_chemical_formula_sum 'Be4 Tl2 In2'
_symmetry_space_group_name_H-M 'P 1'
_symmetry_Int_Tables_number 1
_cell_length_a 4.335
_cell_length_b 4.335
_cell_length_c 7.727
_cell_angle_alpha 90.00
_cell_angle_beta 90.00
_cell_angle_gamma 90.00
loop_
_symmetry_equiv_pos_as_xyz
'x,y,z'
loop_
_atom_site_label
_atom_site_type_symbol
_atom_site_fract_x
_atom_site_fract_y
_atom_site_fract_z
Be1 Be 0.000 0.500 0.250
Be2 Be 0.000 0.500 0.750
Be3 Be 0.500 0.000 0.250
Be4 Be 0.500 0.000 0.750
Tl1 Tl 0.000 0.000 0.000
Tl2 Tl 0.500 0.500 0.500
In1 In 0.000 0.000 0.500
In2 In 0.500 0.500 0.000
```

## Properties
As for the total energy: -18.9 eV/cell. The calculation puts the relative energy among the computed polymorphs at 349 meV/atom. For the total magnetization, the calculation gives 0.00 Bohr magnetons per cell. The formation energy is 3.10 eV per formula unit.

***

First-principles (GGA-PBE) data for crystalline BeTl2In at its relaxed geometry, as listed in Alexandria.

Cell and atoms, written as CIF:
```
data_BeTl2In
_chemical_formula_sum 'Be1 Tl2 In1'
_symmetry_space_group_name_H-M 'P 1'
_symmetry_Int_Tables_number 1
_cell_length_a 4.629
_cell_length_b 4.629
_cell_length_c 4.657
_cell_angle_alpha 90.00
_cell_angle_beta 90.00
_cell_angle_gamma 90.00
loop_
_symmetry_equiv_pos_as_xyz
'x,y,z'
loop_
_atom_site_label
_atom_site_type_symbol
_atom_site_fract_x
_atom_site_fract_y
_atom_site_fract_z
Be1 Be 0.000 0.000 0.000
Tl1 Tl 0.000 0.500 0.500
Tl2 Tl 0.500 0.000 0.500
In1 In 0.500 0.500 0.000
```

## Properties
As for the total energy: -9.1 eV/cell. The calculation puts the relative energy among the computed polymorphs at 229 meV/atom. For the total magnetization, the calculation gives 0.00 Bohr magnetons per cell. The formation energy is 2.12 eV per formula unit.

***

First-principles (GGA-PBE) data for crystalline Be2TlIn at its relaxed geometry, as listed in Alexandria.

Cell and atoms, written as CIF:
```
data_Be2TlIn
_chemical_formula_sum 'Be8 Tl4 In4'
_symmetry_space_group_name_H-M 'P 1'
_symmetry_Int_Tables_number 1
_cell_length_a 6.657
_cell_length_b 6.657
_cell_length_c 6.657
_cell_angle_alpha 90.00
_cell_angle_beta 90.00
_cell_angle_gamma 90.00
loop_
_symmetry_equiv_pos_as_xyz
'x,y,z'
loop_
_atom_site_label
_atom_site_type_symbol
_atom_site_fract_x
_atom_site_fract_y
_atom_site_fract_z
Be1 Be 0.250 0.250 0.250
Be2 Be 0.250 0.250 0.750
Be3 Be 0.250 0.750 0.250
Be4 Be 0.250 0.750 0.750
Be5 Be 0.750 0.250 0.250
Be6 Be 0.750 0.250 0.750
Be7 Be 0.750 0.750 0.250
Be8 Be 0.750 0.750 0.750
Tl1 Tl 0.000 0.000 0.000
Tl2 Tl 0.000 0.500 0.500
Tl3 Tl 0.500 0.000 0.500
Tl4 Tl 0.500 0.500 0.000
In1 In 0.000 0.000 0.500
In2 In 0.000 0.500 0.000
In3 In 0.500 0.000 0.000
In4 In 0.500 0.500 0.500
```

## Properties
As for the total energy: -37.7 eV/cell. The calculation puts the relative energy among the computed polymorphs at 360 meV/atom. For the total magnetization, the calculation gives 0.00 Bohr magnetons per cell. The formation energy is 3.14 eV per formula unit.

***

First-principles (GGA-PBE) data for crystalline Be2TlIn at its relaxed geometry, as listed in Alexandria.

Cell and atoms, written as CIF:
```
data_Be2TlIn
_chemical_formula_sum 'Be4 Tl2 In2'
_symmetry_space_group_name_H-M 'P 1'
_symmetry_Int_Tables_number 1
_cell_length_a 7.318
_cell_length_b 4.214
_cell_length_c 5.969
_cell_angle_alpha 90.00
_cell_angle_beta 111.89
_cell_angle_gamma 90.00
loop_
_symmetry_equiv_pos_as_xyz
'x,y,z'
loop_
_atom_site_label
_atom_site_type_symbol
_atom_site_fract_x
_atom_site_fract_y
_atom_site_fract_z
Be1 Be 0.161 0.000 0.480
Be2 Be 0.339 0.500 0.520
Be3 Be 0.661 0.500 0.480
Be4 Be 0.839 0.000 0.520
Tl1 Tl 0.000 0.000 0.000
Tl2 Tl 0.500 0.500 0.000
In1 In 0.000 0.500 0.500
In2 In 0.500 0.000 0.500
```

## Properties
As for the total energy: -21.7 eV/cell. The calculation puts the relative energy among the computed polymorphs at 0 meV/atom. For the total magnetization, the calculation gives 0.00 Bohr magnetons per cell. The formation energy is 1.70 eV per formula unit.

***

First-principles (GGA-PBE) data for crystalline Be3TlIn at its relaxed geometry, as listed in Alexandria.

Cell and atoms, written as CIF:
```
data_Be3TlIn
_chemical_formula_sum 'Be3 Tl1 In1'
_symmetry_space_group_name_H-M 'P 1'
_symmetry_Int_Tables_number 1
_cell_length_a 4.651
_cell_length_b 4.651
_cell_length_c 4.651
_cell_angle_alpha 90.00
_cell_angle_beta 90.00
_cell_angle_gamma 90.00
loop_
_symmetry_equiv_pos_as_xyz
'x,y,z'
loop_
_atom_site_label
_atom_site_type_symbol
_atom_site_fract_x
_atom_site_fract_y
_atom_site_fract_z
Be1 Be 0.000 0.000 0.500
Be2 Be 0.000 0.500 0.000
Be3 Be 0.500 0.000 0.000
Tl1 Tl 0.000 0.000 0.000
In1 In 0.500 0.500 0.500
```

## Properties
As for the total energy: -10.7 eV/cell. The calculation puts the relative energy among the computed polymorphs at 50 meV/atom. For the total magnetization, the calculation gives 0.00 Bohr magnetons per cell. The formation energy is 5.61 eV per formula unit.

***

First-principles (GGA-PBE) data for crystalline BeTl2In at its relaxed geometry, as listed in Alexandria.

Cell and atoms, written as CIF:
```
data_BeTl2In
_chemical_formula_sum 'Be1 Tl2 In1'
_symmetry_space_group_name_H-M 'P 1'
_symmetry_Int_Tables_number 1
_cell_length_a 3.343
_cell_length_b 3.343
_cell_length_c 8.804
_cell_angle_alpha 90.00
_cell_angle_beta 90.00
_cell_angle_gamma 90.00
loop_
_symmetry_equiv_pos_as_xyz
'x,y,z'
loop_
_atom_site_label
_atom_site_type_symbol
_atom_site_fract_x
_atom_site_fract_y
_atom_site_fract_z
Be1 Be 0.000 0.000 0.000
Tl1 Tl 0.000 0.000 0.451
Tl2 Tl 0.500 0.500 0.783
In1 In 0.500 0.500 0.161
```

## Properties
As for the total energy: -9.7 eV/cell. The calculation puts the relative energy among the computed polymorphs at 61 meV/atom. For the total magnetization, the calculation gives 0.00 Bohr magnetons per cell. The formation energy is 1.45 eV per formula unit.

***

First-principles (GGA-PBE) data for crystalline Be2TlIn at its relaxed geometry, as listed in Alexandria.

Cell and atoms, written as CIF:
```
data_Be2TlIn
_chemical_formula_sum 'Be8 Tl4 In4'
_symmetry_space_group_name_H-M 'P 1'
_symmetry_Int_Tables_number 1
_cell_length_a 7.036
_cell_length_b 7.036
_cell_length_c 6.439
_cell_angle_alpha 90.00
_cell_angle_beta 90.00
_cell_angle_gamma 90.00
loop_
_symmetry_equiv_pos_as_xyz
'x,y,z'
loop_
_atom_site_label
_atom_site_type_symbol
_atom_site_fract_x
_atom_site_fract_y
_atom_site_fract_z
Be1 Be 0.248 0.250 0.125
Be2 Be 0.250 0.748 0.375
Be3 Be 0.250 0.752 0.875
Be4 Be 0.252 0.250 0.625
Be5 Be 0.748 0.750 0.625
Be6 Be 0.750 0.248 0.875
Be7 Be 0.750 0.252 0.375
Be8 Be 0.752 0.750 0.125
Tl1 Tl 0.000 0.000 0.500
Tl2 Tl 0.000 0.500 0.750
Tl3 Tl 0.500 0.000 0.250
Tl4 Tl 0.500 0.500 0.000
In1 In 0.000 0.000 0.000
In2 In 0.000 0.500 0.250
In3 In 0.500 0.000 0.750
In4 In 0.500 0.500 0.500
```

## Properties
As for the total energy: -37.2 eV/cell. The calculation puts the relative energy among the computed polymorphs at 389 meV/atom. For the total magnetization, the calculation gives 0.00 Bohr magnetons per cell. The formation energy is 3.25 eV per formula unit.

***

First-principles (GGA-PBE) data for crystalline BeTl2In at its relaxed geometry, as listed in Alexandria.

Cell and atoms, written as CIF:
```
data_BeTl2In
_chemical_formula_sum 'Be2 Tl4 In2'
_symmetry_space_group_name_H-M 'P 1'
_symmetry_Int_Tables_number 1
_cell_length_a 4.197
_cell_length_b 5.216
_cell_length_c 8.922
_cell_angle_alpha 90.00
_cell_angle_beta 90.00
_cell_angle_gamma 90.00
loop_
_symmetry_equiv_pos_as_xyz
'x,y,z'
loop_
_atom_site_label
_atom_site_type_symbol
_atom_site_fract_x
_atom_site_fract_y
_atom_site_fract_z
Be1 Be 0.000 0.000 0.000
Be2 Be 0.500 0.500 0.000
Tl1 Tl 0.000 0.500 0.198
Tl2 Tl 0.000 0.500 0.802
Tl3 Tl 0.500 0.000 0.198
Tl4 Tl 0.500 0.000 0.802
In1 In 0.000 0.000 0.500
In2 In 0.500 0.500 0.500
```

## Properties
As for the total energy: -19.0 eV/cell. The calculation puts the relative energy among the computed polymorphs at 120 meV/atom. For the total magnetization, the calculation gives 0.00 Bohr magnetons per cell. The formation energy is 1.69 eV per formula unit.

***

First-principles (GGA-PBE) data for crystalline BeTlIn at its relaxed geometry, as listed in Alexandria.

Cell and atoms, written as CIF:
```
data_BeTlIn
_chemical_formula_sum 'Be2 Tl2 In2'
_symmetry_space_group_name_H-M 'P 1'
_symmetry_Int_Tables_number 1
_cell_length_a 3.264
_cell_length_b 3.264
_cell_length_c 12.335
_cell_angle_alpha 90.00
_cell_angle_beta 90.00
_cell_angle_gamma 90.00
loop_
_symmetry_equiv_pos_as_xyz
'x,y,z'
loop_
_atom_site_label
_atom_site_type_symbol
_atom_site_fract_x
_atom_site_fract_y
_atom_site_fract_z
Be1 Be 0.000 0.000 0.000
Be2 Be 0.500 0.500 0.500
Tl1 Tl 0.000 0.000 0.657
Tl2 Tl 0.500 0.500 0.157
In1 In 0.000 0.000 0.376
In2 In 0.500 0.500 0.876
```

## Properties
As for the total energy: -14.7 eV/cell. For the total magnetization, the calculation gives 0.00 Bohr magnetons per cell. The formation energy is 1.50 eV per formula unit.

***

First-principles (GGA-PBE) data for crystalline Be2TlIn at its relaxed geometry, as listed in Alexandria.

Cell and atoms, written as CIF:
```
data_Be2TlIn
_chemical_formula_sum 'Be2 Tl1 In1'
_symmetry_space_group_name_H-M 'P 1'
_symmetry_Int_Tables_number 1
_cell_length_a 4.747
_cell_length_b 4.747
_cell_length_c 3.276
_cell_angle_alpha 90.00
_cell_angle_beta 90.00
_cell_angle_gamma 90.00
loop_
_symmetry_equiv_pos_as_xyz
'x,y,z'
loop_
_atom_site_label
_atom_site_type_symbol
_atom_site_fract_x
_atom_site_fract_y
_atom_site_fract_z
Be1 Be 0.000 0.500 0.000
Be2 Be 0.500 0.000 0.000
Tl1 Tl 0.000 0.000 0.500
In1 In 0.500 0.500 0.500
```

## Properties
As for the total energy: -9.4 eV/cell. The calculation puts the relative energy among the computed polymorphs at 357 meV/atom. For the total magnetization, the calculation gives 0.00 Bohr magnetons per cell. The formation energy is 3.13 eV per formula unit.

***

Q: What is the formula in the third record?
A: Be2TlIn

***

Q: What is the formula in the sixth record?
A: Be2TlIn